A relaxed SbMo2Ru crystal, computed with PBE.

Geometry as CIF:
```
data_SbMo2Ru
_symmetry_space_group_name_H-M 'P m m 2'
_symmetry_Int_Tables_number 25
_symmetry_space_group_name_Hall 'P 2 -2'
_cell_length_a 3.0845
_cell_length_b 3.9680
_cell_length_c 5.4833
_cell_angle_alpha 90.00
_cell_angle_beta 90.00
_cell_angle_gamma 90.00
loop_
_atom_site_label
_atom_site_fract_x
_atom_site_fract_y
_atom_site_fract_z
_atom_site_occupancy
Sb1 0.0000 0.0000 0.0000 1
Mo1 0.0000 0.0000 0.4982 1
Mo2 0.5000 0.5000 0.2967 1
Ru1 0.5000 0.5000 0.7848 1
```

- Calculated density: 10.26 g/cm³
- Formation energy from raw total energies: 1.08 eV/f.u.
- Final energy: -8.496 eV per atom


A relaxed SbMoRu2 crystal, computed with PBE.

Geometry as CIF:
```
data_SbMoRu2
_symmetry_space_group_name_H-M 'P m m 2'
_symmetry_Int_Tables_number 25
_symmetry_space_group_name_Hall 'P 2 -2'
_cell_length_a 2.9907
_cell_length_b 4.0504
_cell_length_c 5.3616
_cell_angle_alpha 90.00
_cell_angle_beta 90.00
_cell_angle_gamma 90.00
loop_
_atom_site_label
_atom_site_fract_x
_atom_site_fract_y
_atom_site_fract_z
_atom_site_occupancy
Sb1 0.0000 0.0000 0.0000 1
Mo1 0.5000 0.5000 0.3064 1
Ru1 0.0000 0.0000 0.4960 1
Ru2 0.5000 0.5000 0.8022 1
```

- Calculated density: 10.73 g/cm³
- Formation energy from raw total energies: 0.88 eV/f.u.
- Final energy: -8.157 eV per atom


A relaxed SbMoRu2 crystal, computed with PBE.

Geometry as CIF:
```
data_SbMoRu2
_symmetry_space_group_name_H-M 'P 4/m m m'
_symmetry_Int_Tables_number 123
_symmetry_space_group_name_Hall '-P 4 2'
_cell_length_a 2.9887
_cell_length_b 2.9887
_cell_length_c 7.1717
_cell_angle_alpha 90.00
_cell_angle_beta 90.00
_cell_angle_gamma 90.00
loop_
_atom_site_label
_atom_site_fract_x
_atom_site_fract_y
_atom_site_fract_z
_atom_site_occupancy
Sb1 0.0000 0.0000 0.0000 1
Mo1 0.0000 0.0000 0.5000 1
Ru1 0.5000 0.5000 0.2541 1
```

- Calculated density: 10.88 g/cm³
- Formation energy from raw total energies: 0.54 eV/f.u.
- Final energy: -8.242 eV per atom


A relaxed SbMoRu2 crystal, computed with PBE.

Geometry as CIF:
```
data_SbMoRu2
_symmetry_space_group_name_H-M 'R -3 m'
_symmetry_Int_Tables_number 166
_symmetry_space_group_name_Hall '-R 3 2"'
_cell_length_a 3.0024
_cell_length_b 3.0024
_cell_length_c 25.3754
_cell_angle_alpha 90.00
_cell_angle_beta 90.00
_cell_angle_gamma 120.00
loop_
_atom_site_label
_atom_site_fract_x
_atom_site_fract_y
_atom_site_fract_z
_atom_site_occupancy
Sb1 0.0000 0.0000 0.0000 1
Mo1 0.0000 0.0000 0.5000 1
Ru1 0.0000 0.0000 0.2471 1
```

- Calculated density: 10.56 g/cm³
- Formation energy from raw total energies: 1.16 eV/f.u.
- Final energy: -8.087 eV per atom


A relaxed SbMo2Ru crystal, computed with PBE.

Geometry as CIF:
```
data_SbMo2Ru
_symmetry_space_group_name_H-M 'R 3 m'
_symmetry_Int_Tables_number 160
_symmetry_space_group_name_Hall 'R 3 -2"'
_cell_length_a 3.0788
_cell_length_b 3.0788
_cell_length_c 25.1606
_cell_angle_alpha 90.00
_cell_angle_beta 90.00
_cell_angle_gamma 120.00
loop_
_atom_site_label
_atom_site_fract_x
_atom_site_fract_y
_atom_site_fract_z
_atom_site_occupancy
Sb1 0.0000 0.0000 0.0000 1
Mo1 0.0000 0.0000 0.2430 1
Mo2 0.0000 0.0000 0.4992 1
Ru1 0.0000 0.0000 0.7526 1
```

- Calculated density: 10.00 g/cm³
- Formation energy from raw total energies: 1.37 eV/f.u.
- Final energy: -8.422 eV per atom


A relaxed SbMo2Ru crystal, computed with PBE.

Geometry as CIF:
```
data_SbMo2Ru
_symmetry_space_group_name_H-M 'P 4 m m'
_symmetry_Int_Tables_number 99
_symmetry_space_group_name_Hall 'P 4 -2'
_cell_length_a 3.2064
_cell_length_b 3.2064
_cell_length_c 6.4533
_cell_angle_alpha 90.00
_cell_angle_beta 90.00
_cell_angle_gamma 90.00
loop_
_atom_site_label
_atom_site_fract_x
_atom_site_fract_y
_atom_site_fract_z
_atom_site_occupancy
Sb1 0.0000 0.0000 0.0000 1
Mo1 0.0000 0.0000 0.4960 1
Mo2 0.5000 0.5000 0.2658 1
Ru1 0.5000 0.5000 0.7478 1
```

- Calculated density: 10.38 g/cm³
- Formation energy from raw total energies: 0.79 eV/f.u.
- Final energy: -8.568 eV per atom


A relaxed SbMo2Ru crystal, computed with PBE.

Geometry as CIF:
```
data_SbMo2Ru
_symmetry_space_group_name_H-M 'F -4 3 m'
_symmetry_Int_Tables_number 216
_symmetry_space_group_name_Hall 'F -4 2 3'
_cell_length_a 6.3907
_cell_length_b 6.3907
_cell_length_c 6.3907
_cell_angle_alpha 90.00
_cell_angle_beta 90.00
_cell_angle_gamma 90.00
loop_
_atom_site_label
_atom_site_fract_x
_atom_site_fract_y
_atom_site_fract_z
_atom_site_occupancy
Sb1 0.0000 0.0000 0.0000 1
Mo1 0.0000 0.0000 0.5000 1
Mo2 0.2500 0.2500 0.2500 1
Ru1 0.2500 0.2500 0.7500 1
```

- Calculated density: 10.55 g/cm³
- Formation energy from raw total energies: 0.83 eV/f.u.
- Final energy: -8.558 eV per atom


A relaxed SbMoRu2 crystal, computed with PBE.

Geometry as CIF:
```
data_SbMoRu2
_symmetry_space_group_name_H-M 'I m m 2'
_symmetry_Int_Tables_number 44
_symmetry_space_group_name_Hall 'I 2 -2'
_cell_length_a 3.1077
_cell_length_b 4.5264
_cell_length_c 9.1262
_cell_angle_alpha 90.00
_cell_angle_beta 90.00
_cell_angle_gamma 90.00
loop_
_atom_site_label
_atom_site_fract_x
_atom_site_fract_y
_atom_site_fract_z
_atom_site_occupancy
Sb1 0.0000 0.0000 0.0000 1
Mo1 0.0000 0.5000 0.7433 1
Ru1 0.0000 0.0000 0.4978 1
Ru2 0.0000 0.5000 0.2732 1
```

- Calculated density: 10.86 g/cm³
- Formation energy from raw total energies: 0.83 eV/f.u.
- Final energy: -8.168 eV per atom


A relaxed SbMoRu2 crystal, computed with PBE.

Geometry as CIF:
```
data_SbMoRu2
_symmetry_space_group_name_H-M 'C 1 2/m 1'
_symmetry_Int_Tables_number 12
_symmetry_space_group_name_Hall '-C 2y'
_cell_length_a 9.1186
_cell_length_b 2.9579
_cell_length_c 4.8540
_cell_angle_alpha 90.00
_cell_angle_beta 99.23
_cell_angle_gamma 90.00
loop_
_atom_site_label
_atom_site_fract_x
_atom_site_fract_y
_atom_site_fract_z
_atom_site_occupancy
Sb1 0.0000 0.0000 0.0000 1
Mo1 0.0000 0.5000 0.5000 1
Ru1 0.2423 0.0000 0.7291 1
```

- Calculated density: 10.79 g/cm³
- Formation energy from raw total energies: 0.84 eV/f.u.
- Final energy: -8.166 eV per atom


A relaxed SbMo2Ru crystal, computed with PBE.

Geometry as CIF:
```
data_SbMo2Ru
_symmetry_space_group_name_H-M 'C 1 2/m 1'
_symmetry_Int_Tables_number 12
_symmetry_space_group_name_Hall '-C 2y'
_cell_length_a 9.6583
_cell_length_b 3.1026
_cell_length_c 4.5499
_cell_angle_alpha 90.00
_cell_angle_beta 103.29
_cell_angle_gamma 90.00
loop_
_atom_site_label
_atom_site_fract_x
_atom_site_fract_y
_atom_site_fract_z
_atom_site_occupancy
Sb1 0.0000 0.0000 0.0000 1
Mo1 0.2452 0.0000 0.7261 1
Ru1 0.0000 0.5000 0.5000 1
```

- Calculated density: 10.38 g/cm³
- Formation energy from raw total energies: 0.66 eV/f.u.
- Final energy: -8.601 eV per atom


A relaxed SbMoRu2 crystal, computed with PBE.

Geometry as CIF:
```
data_SbMoRu2
_symmetry_space_group_name_H-M 'I 4/m m m'
_symmetry_Int_Tables_number 139
_symmetry_space_group_name_Hall '-I 4 2'
_cell_length_a 4.1098
_cell_length_b 4.1098
_cell_length_c 7.5151
_cell_angle_alpha 90.00
_cell_angle_beta 90.00
_cell_angle_gamma 90.00
loop_
_atom_site_label
_atom_site_fract_x
_atom_site_fract_y
_atom_site_fract_z
_atom_site_occupancy
Sb1 0.0000 0.0000 0.0000 1
Mo1 0.0000 0.0000 0.5000 1
Ru1 0.0000 0.5000 0.2500 1
```

- Calculated density: 10.98 g/cm³
- Formation energy from raw total energies: 0.39 eV/f.u.
- Final energy: -8.279 eV per atom


A relaxed SbMoRu2 crystal, computed with PBE.

Geometry as CIF:
```
data_SbMoRu2
_symmetry_space_group_name_H-M 'I -4 m 2'
_symmetry_Int_Tables_number 119
_symmetry_space_group_name_Hall 'I -4 -2'
_cell_length_a 3.9109
_cell_length_b 3.9109
_cell_length_c 8.2929
_cell_angle_alpha 90.00
_cell_angle_beta 90.00
_cell_angle_gamma 90.00
loop_
_atom_site_label
_atom_site_fract_x
_atom_site_fract_y
_atom_site_fract_z
_atom_site_occupancy
Sb1 0.0000 0.0000 0.0000 1
Mo1 0.0000 0.5000 0.7500 1
Ru1 0.0000 0.0000 0.5000 1
Ru2 0.0000 0.5000 0.2500 1
```

- Calculated density: 10.99 g/cm³
- Formation energy from raw total energies: 0.60 eV/f.u.
- Final energy: -8.227 eV per atom


A relaxed SbMo2Ru crystal, computed with PBE.

Geometry as CIF:
```
data_SbMo2Ru
_symmetry_space_group_name_H-M 'P 1 m 1'
_symmetry_Int_Tables_number 6
_symmetry_space_group_name_Hall 'P -2y'
_cell_length_a 2.9235
_cell_length_b 4.3944
_cell_length_c 5.2669
_cell_angle_alpha 90.00
_cell_angle_beta 98.99
_cell_angle_gamma 90.00
loop_
_atom_site_label
_atom_site_fract_x
_atom_site_fract_y
_atom_site_fract_z
_atom_site_occupancy
Sb1 0.0000 0.0000 0.0000 1
Mo1 0.3718 0.0000 0.5098 1
Mo2 0.5836 0.5000 0.2495 1
Ru1 0.9879 0.5000 0.7301 1
```

- Calculated density: 10.30 g/cm³
- Formation energy from raw total energies: 1.00 eV/f.u.
- Final energy: -8.516 eV per atom


A relaxed SbMoRu2 crystal, computed with PBE.

Geometry as CIF:
```
data_SbMoRu2
_symmetry_space_group_name_H-M 'P 4 m m'
_symmetry_Int_Tables_number 99
_symmetry_space_group_name_Hall 'P 4 -2'
_cell_length_a 3.0418
_cell_length_b 3.0418
_cell_length_c 6.9606
_cell_angle_alpha 90.00
_cell_angle_beta 90.00
_cell_angle_gamma 90.00
loop_
_atom_site_label
_atom_site_fract_x
_atom_site_fract_y
_atom_site_fract_z
_atom_site_occupancy
Sb1 0.0000 0.0000 0.0000 1
Mo1 0.5000 0.5000 0.2801 1
Ru1 0.0000 0.0000 0.5087 1
Ru2 0.5000 0.5000 0.7691 1
```

- Calculated density: 10.82 g/cm³
- Formation energy from raw total energies: 0.97 eV/f.u.
- Final energy: -8.133 eV per atom


A relaxed SbMo2Ru crystal, computed with PBE.

Geometry as CIF:
```
data_SbMo2Ru
_symmetry_space_group_name_H-M 'C 1 m 1'
_symmetry_Int_Tables_number 8
_symmetry_space_group_name_Hall 'C -2y'
_cell_length_a 9.5348
_cell_length_b 3.0677
_cell_length_c 4.7744
_cell_angle_alpha 90.00
_cell_angle_beta 108.26
_cell_angle_gamma 90.00
loop_
_atom_site_label
_atom_site_fract_x
_atom_site_fract_y
_atom_site_fract_z
_atom_site_occupancy
Sb1 0.0000 0.0000 0.0000 1
Mo1 0.0192 0.5000 0.5226 1
Mo2 0.2550 0.5000 0.1978 1
Ru1 0.2565 0.0000 0.6695 1
```

- Calculated density: 10.39 g/cm³
- Formation energy from raw total energies: 0.93 eV/f.u.
- Final energy: -8.532 eV per atom